VASP calculation (PBE) on an optimized crystal structure of K4H2Se.

energy relative to the lowest polymorph listed for this composition	0.1341	eV per atom

abc: 8.7392 8.7392 8.7392
angles: 137.26 137.26 62.04
Fractional coordinates of all 7 atoms:
K  0.0000  0.5000  0.5000
K  0.2122  0.2122  0.0000
K  0.5000  0.0000  0.5000
K  0.7878  0.7878  0.0000
H  0.4742  0.4742  0.0000
H  0.5258  0.5258  0.0000
Se  0.0000  0.0000  0.0000